{"formula": "MnRe2Ni", "functional": "SCAN", "state": "single point on PBEsol structure", "lattice_angstrom": [[3.0725, 0.0000, 0.0000], [0.0000, 3.0725, 0.0000], [0.0000, 0.0000, 5.4111]], "species": ["Mn", "Re", "Re", "Ni"], "frac_coords": [[0.0000, 0.0000, 0.0000], [0.0000, 0.0000, 0.4525], [0.5000, 0.5000, 0.7304], [0.5000, 0.5000, 0.2028]], "polymorph_energy_ev_per_atom": 0.0000, "sg": "P4mm, No. 99", "dft_energy_ev_per_cell": -176.7, "magnetic_moment_mub_per_cell": 2.369}